DFT (GGA-PBE) results for a geometry-optimized Ba4Pb2Br structure.

Lattice parameters (Å, degrees): 6.404 6.404 16.862 90.00 90.00 90.00
Space group I4/mmm (No. 139)
Asymmetric unit:
Ba  0.000  0.000  0.202 x4
Ba  0.000  0.500  0.000 x4
Pb  0.000  0.000  0.400 x4
Br  0.000  0.000  0.000 x2

- Energy above the most stable polymorph in this dataset: 86 meV per atom
- Uncorrected formation energy: -714 meV/atom

---

DFT (GGA-PBE) results for a geometry-optimized Ac4Si3Ag structure.

Lattice parameters (Å, degrees): 4.256 4.677 11.912 90.00 90.00 90.00
Space group Pmm2 (No. 25)
Asymmetric unit:
Ac  0.000  0.000  0.000 x1
Ac  0.000  0.500  0.491 x1
Ac  0.500  0.000  0.712 x1
Ac  0.500  0.500  0.214 x1
Si  0.000  0.000  0.290 x1
Si  0.500  0.000  0.416 x1
Si  0.500  0.500  0.931 x1
Ag  0.000  0.500  0.792 x1

- Uncorrected formation energy: -472 meV/atom

---

DFT (GGA-PBE) results for a geometry-optimized TlGaAgBi structure.

Lattice parameters (Å, degrees): 7.378 7.378 7.378 90.00 90.00 90.00
Space group F-43m (No. 216)
Asymmetric unit:
Tl  0.000  0.000  0.000 x4
Ga  0.250  0.250  0.750 x4
Ag  0.250  0.250  0.250 x4
Bi  0.000  0.000  0.500 x4

- ΔE_f: 0.078 eV/atom

---

DFT (GGA-PBE) results for a geometry-optimized Cs2SrZrNb structure.

Lattice parameters (Å, degrees): 6.445 6.445 5.914 90.00 90.00 90.00
Space group P4/mmm (No. 123)
Asymmetric unit:
Cs  0.000  0.500  0.000 x2
Sr  0.000  0.000  0.000 x1
Zr  0.000  0.000  0.500 x1
Nb  0.500  0.500  0.500 x1

- ΔE_f: 2.327 eV/atom

---

DFT (GGA-PBE) results for a geometry-optimized Mn2HgPd8 structure.

Lattice parameters (Å, degrees): 14.189 4.019 6.333 90.00 106.57 90.00
Space group C2/m (No. 12)
Asymmetric unit:
Mn  0.224  0.000  0.150 x4
Hg  0.000  0.500  0.500 x2
Pd  0.046  0.000  0.223 x4
Pd  0.099  0.500  0.965 x4
Pd  0.146  0.000  0.703 x4
Pd  0.182  0.500  0.413 x4

- Energy above the most stable polymorph in this dataset: 0 meV per atom
- ΔE_f: -0.183 eV/atom

---

DFT (GGA-PBE) results for a geometry-optimized CoRh2W structure.

Lattice parameters (Å, degrees): 2.7381 2.7381 26.1894 90.00 90.00 120.00
Space group R3m (No. 160, hexagonal axes)
Asymmetric unit:
Co  0.0000  0.0000  0.0000 x3
Rh  0.0000  0.0000  0.5000 x3
Rh  0.0000  0.0000  0.7441 x3
W  0.0000  0.0000  0.2495 x3

- Energy above the most stable polymorph in this dataset: 242 meV per atom
- ΔE_f: 0.101 eV/atom

---

DFT (GGA-PBE) results for a geometry-optimized SrLaTl structure.

Lattice parameters (Å, degrees): 5.890 3.871 9.785 90.00 107.33 90.00
Space group Pm (No. 6)
Asymmetric unit:
Sr  0.000  0.000  0.000 x1
Sr  0.368  0.000  0.734 x1
La  0.101  0.500  0.367 x1
La  0.613  0.000  0.366 x1
Tl  0.539  0.500  0.072 x1
Tl  0.836  0.500  0.662 x1

- ΔE_f: -0.241 eV/atom

---

DFT (GGA-PBE) results for a geometry-optimized Cs2CuAsW structure.

Lattice parameters (Å, degrees): 6.971 6.971 4.388 90.00 90.00 90.00
Space group P4/mmm (No. 123)
Asymmetric unit:
Cs  0.000  0.500  0.000 x2
Cu  0.000  0.000  0.000 x1
As  0.000  0.000  0.500 x1
W  0.500  0.500  0.500 x1

- ΔE_f: 1.214 eV/atom

---

Across the entries above, Fermi-level density of states takes the values 0.60; 0.91; 0.20; 2.10; 0.60; 1.53; 1.23; 0.58 states/eV per atom, respectively.
Across the entries above, E takes the values -43.6; -39.3; -47.3; -10.4; -124.4; -103.1; -19.4; -17.3 eV for the cell shown, respectively.